No. 1
This record from Alexandria describes an optimized crystal structure of Ac2Cd15Hg2. The functional is PBE-GGA.

Geometry as POSCAR:
```
Ac2Cd15Hg2
1.0
5.152 2.974 5.018
-5.152 2.974 5.018
0.000 -5.949 5.018
Ac Cd Hg
2 15 2
direct
0.168 0.168 0.168
0.832 0.832 0.832
0.000 0.500 0.500
0.142 0.142 0.664
0.142 0.664 0.142
0.203 0.500 0.797
0.203 0.797 0.500
0.336 0.858 0.858
0.500 0.000 0.500
0.500 0.203 0.797
0.500 0.500 0.000
0.500 0.797 0.203
0.664 0.142 0.142
0.797 0.203 0.500
0.797 0.500 0.203
0.858 0.336 0.858
0.858 0.858 0.336
0.397 0.397 0.397
0.603 0.603 0.603
```

Calculated values
Spin magnetization: 0.0 μB per cell
Volume: 461.4 Å³/f.u.
Energy of formation: -0.186 eV per atom


No. 2
This record from Alexandria describes an optimized crystal structure of Ca2GaSi4Rh3. The functional is PBE-GGA.

Geometry as POSCAR:
```
Ca2GaSi4Rh3
1.0
4.097 0.000 0.000
0.000 4.097 0.000
0.000 0.000 10.291
Ca Ga Si Rh
2 1 4 3
direct
0.000 0.500 0.246
0.500 0.000 0.754
0.000 0.000 0.500
0.000 0.000 0.000
0.000 0.500 0.641
0.500 0.000 0.359
0.500 0.500 0.000
0.000 0.500 0.877
0.500 0.000 0.123
0.500 0.500 0.500
```

Calculated values
Spin magnetization: 0.0 μB per cell
Volume: 172.7 Å³/f.u.
Formation energy without anion corrections: -723 meV per atom


No. 3
This record from Alexandria describes an optimized crystal structure of SrMoRh. The functional is PBE-GGA.

Geometry as POSCAR:
```
SrMoRh
1.0
-1.638 1.638 6.170
1.638 -1.638 6.170
1.638 1.638 -6.170
Sr Mo Rh
1 1 1
direct
0.000 0.000 0.000
0.292 0.292 0.000
0.703 0.703 0.000
```

Calculated values
Offset from the most stable computed form: 0.000 eV per atom
Spin magnetization: 0.0 μB per cell
Volume: 66.3 Å³/f.u.
Energy of formation: 0.334 eV per atom